## AgH2PdCl8 (PBE)

Data for a relaxed AgH2PdCl8 crystal.

Unit cell a=6.5366 b=7.1309 c=7.1466 alpha=91.04 beta=94.20 gamma=107.65
Last column: nearest neighbours and their distance in Å.
Space group P-1 (No. 2)
Unique sites:
Ag  0.0000  0.0000  0.0000 x1  4 Cl 2.50-2.51
H  0.2786  0.3008  0.3407 x2  1 Cl 1.32
Pd  0.0000  0.5000  0.0000 x1  6 Cl 2.34-2.36
Cl  0.2074  0.7901  0.8722 x2  1 Pd 2.34, 1 Ag 2.50
Cl  0.2075  0.3204  0.8719 x2  1 Pd 2.35, 1 Ag 2.51
Cl  0.2379  0.5746  0.2744 x2  1 H 2.11, 1 Pd 2.36
Cl  0.2991  0.1240  0.3681 x2  1 H 1.32

* density of states at the Fermi level: 4.47 states/eV/f.u.
* energy: -0.209 Ry per atom